[1]
Compound: Mg4In3Hg
Source: Alexandria
Functional: PBE
Structure: relaxed

```
Mg4In3Hg
1.0
3.257 0.000 0.000
0.000 3.257 0.000
0.000 0.000 17.265
Mg In Hg
4 3 1
Direct
0.000 0.000 0.114
0.000 0.000 0.371
0.000 0.000 0.629
0.000 0.000 0.886
0.500 0.500 0.243
0.500 0.500 0.500
0.500 0.500 0.757
0.500 0.500 0.000
```

Output
size of the total moment = 0.000 μB/cell
raw total energy = -15.9 eV per cell
DFT formation energy = -94 kJ/mol of formula units

[2]
Compound: MgIn2Hg
Source: Alexandria
Functional: PBE
Structure: relaxed

```
MgIn2Hg
1.0
4.081 0.000 0.000
0.000 5.117 0.000
0.000 0.000 9.697
Mg In Hg
2 4 2
Direct
0.000 0.000 0.000
0.500 0.500 0.000
0.000 0.500 0.245
0.000 0.500 0.755
0.500 0.000 0.245
0.500 0.000 0.755
0.000 0.000 0.500
0.500 0.500 0.500
```

Output
size of the total moment = 0.000 μB/cell
raw total energy = -14.7 eV per cell
DFT formation energy = 0 kJ/mol of formula units

> The highest raw total energy belongs to which entry?

MgIn2Hg

> The highest raw total energy belongs to which entry?

MgIn2Hg

> What is the formula in the first record?

Mg4In3Hg

> Number 1 is which compound?

Mg4In3Hg